# Ca3AgS | Alexandria via LeMat-Bulk | PBE | optimized geometry
data_Ca3AgS
_cell_length_a 5.590
_cell_length_b 5.590
_cell_length_c 5.590
_cell_angle_alpha 90.00
_cell_angle_beta 90.00
_cell_angle_gamma 90.00
_space_group_name_H-M_alt 'P m -3 m'
_space_group_IT_number 221
_space_group_name_Hall '-P 4 2 3'
loop_
_atom_site_label
_atom_site_type_symbol
_atom_site_fract_x
_atom_site_fract_y
_atom_site_fract_z
Ca1 Ca 0.000 0.000 0.500
Ag1 Ag 0.000 0.000 0.000
S1 S 0.500 0.500 0.500
# - raw formation energy (meV/atom) = -162
# - VASP energy (eV/atom) = -2.7582
# - offset from the most stable computed form (meV/atom) = 569
# - spin magnetization (μB per atom) = 0.000